PBE-GGA PrAgPt, relaxed; calculated formation energy = -0.74 eV/atom; symmetry = P4/nmm (129); final energy = -5.30 eV/atom; excess energy over the best structure of this formula in the dataset = 0.0 meV per atom
1.0
-2.2904 3.3176 -1.1295
-2.4069 -0.5083 3.3877
4.7300 4.6471 4.0580
Pr Ag Pt
2 2 2
Direct
0.2500 0.7500 0.3353
0.7500 0.2500 0.6647
0.7500 0.7500 0.0000
0.2500 0.2500 0.0000
0.7500 0.2500 0.2706
0.2500 0.7500 0.7294

---

PBE-GGA Pr4AgPt3, relaxed; calculated formation energy = -0.90 eV/atom; symmetry = Pmm2 (25); final energy = -5.91 eV/atom
1.0
-1.3445 3.5789 -0.9808
-2.1525 0.3315 4.1599
9.0589 4.5877 4.3218
Pr Pt Ag
4 3 1
Direct
0.5000 0.5000 0.3727
0.0000 0.5000 0.8543
0.0000 0.0000 0.1388
0.5000 0.0000 0.6372
0.0000 0.5000 0.5885
0.0000 0.0000 0.4112
0.5000 0.0000 0.9165
0.5000 0.5000 0.0808

---

PBE-GGA PrAgPt, relaxed; calculated formation energy = -0.59 eV/atom; symmetry = I4mm (107); final energy = -5.15 eV/atom; excess energy over the best structure of this formula in the dataset = 143.6 meV per atom
1.0
3.8235 0.0000 0.0000
0.0000 3.8235 0.0000
-1.9118 -1.9118 4.6398
Pr Ag Pt
1 1 1
Direct
0.9596 0.9596 0.9192
0.2794 0.2794 0.5587
0.6110 0.6110 0.2221

---

PBE-GGA Pr6Ag3Pt, relaxed; calculated formation energy = -0.27 eV/atom; symmetry = Cmc2_1 (36); final energy = -4.60 eV/atom
1.0
7.5741 0.0000 0.0000
0.0000 8.9911 -0.4015
0.0000 -2.3978 8.6748
Pr Ag Pt
12 6 2
Direct
0.0992 0.7910 0.6716
0.5992 0.6716 0.7910
0.2086 0.4800 0.8562
0.7086 0.8562 0.4800
0.2814 0.9603 0.0397
0.7572 0.2838 0.7162
0.2572 0.7162 0.2838
0.7814 0.0397 0.9603
0.2086 0.1438 0.5200
0.7086 0.5200 0.1438
0.0992 0.3284 0.2090
0.5992 0.2090 0.3284
0.4427 0.0057 0.7268
0.9427 0.7268 0.0057
0.3632 0.4981 0.5019
0.8632 0.5019 0.4981
0.9427 0.9943 0.2732
0.4427 0.2732 0.9943
0.0826 0.1620 0.8380
0.5826 0.8380 0.1620

---

PBE-GGA Pr3AgPt8, relaxed; calculated formation energy = -0.90 eV/atom; symmetry = R3m (160); final energy = -6.36 eV/atom
1.0
-3.5871 0.7966 4.0721
-1.8896 -4.2777 2.8662
4.9564 -0.2700 8.1128
Pr Ag Pt
3 1 8
Direct
0.3775 0.3775 0.8674
0.9905 0.9905 0.0286
0.5071 0.5071 0.4788
0.8704 0.8704 0.3887
0.9409 0.4369 0.1853
0.4383 0.9376 0.6865
0.4369 0.4369 0.1853
0.9376 0.9376 0.6865
0.1884 0.1884 0.4349
0.6880 0.6880 0.9361
0.4369 0.9409 0.1853
0.9376 0.4383 0.6865

---

PBE-GGA Pr2Ag3Pt2, relaxed; calculated formation energy = -0.59 eV/atom; symmetry = C2/m (12); final energy = -4.91 eV/atom
1.0
4.2375 0.0000 0.0000
-2.1188 5.1382 0.1218
0.0000 -1.0291 7.1306
Pr Ag Pt
2 3 2
Direct
0.6189 0.2379 0.3360
0.3811 0.7621 0.6640
0.3080 0.6160 0.1136
0.0000 0.0000 0.0000
0.6920 0.3840 0.8864
0.0944 0.1889 0.6486
0.9056 0.8111 0.3514